(1)
## Tb6Pr2In (GGA-PBE)

Data for crystalline Tb6Pr2In at its relaxed geometry.

Results
- E above lowest polymorph (eV per formula unit) = 0.00
- DFT total energy (eV per cell) = -81.9
- density of states at the Fermi level (states/eV per atom) = 1.099
- formation energy from the elements (eV/atom) = -0.10
- volume (A^3/atom) = 31.74

Cell lengths 6.6083, 9.0529, 10.2637 Å; angles 106.83, 100.44, 95.19 degrees
Sites, in units of the cell vectors:
Tb  0.0401  0.3132  0.4386
Tb  0.1326  0.3617  0.1238
Tb  0.2108  0.9570  0.8907
Tb  0.2680  0.0209  0.5576
Tb  0.4190  0.6454  0.4358
Tb  0.4398  0.6888  0.0900
Tb  0.5602  0.3112  0.9100
Tb  0.5810  0.3546  0.5642
Tb  0.7320  0.9791  0.4424
Tb  0.7892  0.0430  0.1093
Tb  0.8674  0.6383  0.8762
Tb  0.9599  0.6868  0.5614
Pr  0.0149  0.2745  0.7677
Pr  0.3365  0.0835  0.2430
Pr  0.6635  0.9165  0.7570
Pr  0.9851  0.7255  0.2323
In  0.3352  0.5889  0.7531
In  0.6648  0.4111  0.2469

***

(2)
## AgIrS2O8 (GGA-PBE)

Data for crystalline AgIrS2O8 at its relaxed geometry.

Results
- DFT total energy (eV per cell) = -70.8
- ΔE_f (raw) (kJ per mole of atoms) = -89.9
- volume (A^3/atom) = 13.32

Cell lengths 4.8361, 4.8361, 7.5371 Å; angles 90.68, 90.68, 65.06 degrees
Sites, in units of the cell vectors:
Ag  0.0000  0.0000  0.0000
Ir  0.0000  0.0000  0.5000
S  0.3557  0.3557  0.7105
S  0.6443  0.6443  0.2895
O  0.2310  0.7031  0.7027
O  0.2491  0.2491  0.5484
O  0.2757  0.2757  0.8810
O  0.2969  0.7690  0.2973
O  0.7031  0.2310  0.7027
O  0.7243  0.7243  0.1190
O  0.7509  0.7509  0.4516
O  0.7690  0.2969  0.2973

***

(3)
## Pr8Ni3PtI4 (GGA-PBE)

Data for crystalline Pr8Ni3PtI4 at its relaxed geometry.

Results
- DFT total energy (eV per cell) = -80.1
- density of states at the Fermi level (states/eV per atom) = 0.774
- ΔE_f (raw) (kJ per mole of atoms) = -74.2
- volume (A^3/atom) = 31.24

Cell lengths 9.4795, 9.4795, 9.4795 Å; angles 52.75, 52.75, 52.75 degrees
Sites, in units of the cell vectors:
Pr  0.2209  0.7319  0.7319
Pr  0.2275  0.2275  0.2275
Pr  0.2681  0.2681  0.7791
Pr  0.2681  0.7791  0.2681
Pr  0.7319  0.2208  0.7319
Pr  0.7319  0.7319  0.2208
Pr  0.7725  0.7725  0.7725
Pr  0.7791  0.2681  0.2681
Ni  0.0000  0.0000  0.5000
Ni  0.0000  0.5000  0.0000
Ni  0.5000  0.0000  0.0000
Pt  0.5000  0.5000  0.5000
I  0.0000  0.0000  0.0000
I  0.0000  0.5000  0.5000
I  0.5000  0.0000  0.5000
I  0.5000  0.5000  0.0000

***

(4)
## Li3Pa2TiN6 (GGA-PBE)

Data for crystalline Li3Pa2TiN6 at its relaxed geometry.

Results
- DFT total energy (eV per cell) = -95.9
- density of states at the Fermi level (states/eV per atom) = 0.603
- ΔE_f (raw) (kJ per mole of atoms) = -107.0
- volume (A^3/atom) = 12.41

Cell lengths 5.8768, 5.8768, 5.3274 Å; angles 98.71, 98.71, 121.62 degrees
Sites, in units of the cell vectors:
Li  0.0000  0.0000  0.0000
Li  0.3677  0.6323  0.0000
Li  0.6323  0.3677  0.0000
Pa  0.1664  0.8336  0.5000
Pa  0.8336  0.1664  0.5000
Ti  0.5000  0.5000  0.5000
N  0.1204  0.4312  0.2884
N  0.2470  0.2470  0.7167
N  0.4312  0.1204  0.2884
N  0.5688  0.8796  0.7116
N  0.7530  0.7530  0.2833
N  0.8796  0.5688  0.7116

***

(5)
## Ac6Pr2Sm3 (GGA-PBE)

Data for crystalline Ac6Pr2Sm3 at its relaxed geometry.

Results
- DFT total energy (eV per cell) = -46.4
- density of states at the Fermi level (states/eV per atom) = 1.524
- formation energy from the elements (eV/atom) = 0.18
- volume (A^3/atom) = 42.18

Cell lengths 6.6663, 6.6663, 12.2090 Å; angles 94.94, 94.94, 119.77 degrees
Sites, in units of the cell vectors:
Ac  0.0874  0.4199  0.7497
Ac  0.2447  0.2447  0.2549
Ac  0.4199  0.0874  0.7497
Ac  0.5801  0.9126  0.2503
Ac  0.7553  0.7553  0.7451
Ac  0.9126  0.5801  0.2503
Pr  0.3300  0.6700  0.5000
Pr  0.6700  0.3300  0.5000
Sm  0.1657  0.8343  0.0000
Sm  0.5000  0.5000  0.0000
Sm  0.8343  0.1657  0.0000

***

(6)
## Ca4PBr4 (GGA-PBE)

Data for crystalline Ca4PBr4 at its relaxed geometry.

Results
- DFT total energy (eV per cell) = -35.2
- density of states at the Fermi level (states/eV per atom) = 0.359
- ΔE_f (raw) (kJ per mole of atoms) = -162.2
- volume (A^3/atom) = 29.43

Cell lengths 7.3572, 7.3572, 10.3162 Å; angles 118.81, 118.81, 33.29 degrees
Sites, in units of the cell vectors:
Ca  0.0839  0.0839  0.4076
Ca  0.3121  0.3121  0.2197
Ca  0.6879  0.6879  0.7803
Ca  0.9161  0.9161  0.5924
P  0.5000  0.5000  0.5000
Br  0.1104  0.1104  0.9089
Br  0.3044  0.3044  0.6992
Br  0.6956  0.6956  0.3008
Br  0.8896  0.8896  0.0911

***

(7)
## BeHgSe (GGA-PBE)

Data for crystalline BeHgSe at its relaxed geometry.

Results
- E above lowest polymorph (eV per formula unit) = 1.90
- DFT total energy (eV per cell) = -6.8
- ΔE_f (raw) (kJ per mole of atoms) = 21.7
- volume (A^3/atom) = 19.95

Cell lengths 4.3905, 4.3905, 4.3905 Å; angles 60.00, 60.00, 60.00 degrees
Sites, in units of the cell vectors:
Be  0.0000  0.0000  0.0000
Hg  0.2500  0.2500  0.2500
Se  0.7500  0.7500  0.7500

***

(8)
## Pm4IrRh3 (GGA-PBE)

Data for crystalline Pm4IrRh3 at its relaxed geometry.

Results
- DFT total energy (eV per cell) = -55.5
- density of states at the Fermi level (states/eV per atom) = 0.380
- formation energy from the elements (eV/atom) = -0.70
- volume (A^3/atom) = 22.76

Cell lengths 3.9378, 4.2472, 10.8884 Å; angles 90.00, 90.00, 90.00 degrees
Sites, in units of the cell vectors:
Pm  0.0000  0.0000  0.0000
Pm  0.0000  0.5000  0.2842
Pm  0.5000  0.0000  0.4978
Pm  0.5000  0.5000  0.7829
Ir  0.5000  0.0000  0.2226
Rh  0.0000  0.0000  0.7262
Rh  0.0000  0.5000  0.5578
Rh  0.5000  0.5000  0.0566

***

(9)
## SiGeO2F (GGA-PBE)

Data for crystalline SiGeO2F at its relaxed geometry.

Results
- DFT total energy (eV per cell) = -28.5
- density of states at the Fermi level (states/eV per atom) = 0.263
- ΔE_f (raw) (kJ per mole of atoms) = -129.3
- volume (A^3/atom) = 10.96

Cell lengths 3.6086, 3.6086, 4.2086 Å; angles 90.00, 90.00, 90.00 degrees
Sites, in units of the cell vectors:
Si  0.0000  0.0000  0.0000
Ge  0.5000  0.5000  0.5000
O  0.0000  0.5000  0.0000
O  0.5000  0.0000  0.0000
F  0.0000  0.0000  0.5000

***

(10)
## KSc2Cd (GGA-PBE)

Data for crystalline KSc2Cd at its relaxed geometry.

Results
- DFT total energy (eV per cell) = -23.3
- density of states at the Fermi level (states/eV per atom) = 1.165
- formation energy from the elements (eV/atom) = 0.75
- volume (A^3/atom) = 42.24

Cell lengths 11.1748, 11.1748, 11.1748 Å; angles 150.48, 150.48, 42.23 degrees
Sites, in units of the cell vectors:
K  0.3750  0.6250  0.7500
K  0.6250  0.3750  0.2500
Sc  0.0000  0.0000  0.0000
Sc  0.0000  0.0000  0.5000
Sc  0.0000  0.5000  0.0000
Sc  0.5000  0.0000  0.5000
Cd  0.1250  0.8750  0.2500
Cd  0.8750  0.1250  0.7500

***

(11)
## KCaCo (GGA-PBE)

Data for crystalline KCaCo at its relaxed geometry.

Results
- DFT total energy (eV per cell) = -7.9
- density of states at the Fermi level (states/eV per atom) = 1.181
- formation energy from the elements (eV/atom) = 0.75
- volume (A^3/atom) = 34.43

Cell lengths 3.8456, 3.8456, 8.0645 Å; angles 90.00, 90.00, 120.00 degrees
Sites, in units of the cell vectors:
K  0.0000  0.0000  0.0000
Ca  0.6667  0.3333  0.4850
Co  0.3333  0.6667  0.7042

***

(12)
## PdSeN2Cl (GGA-PBE)

Data for crystalline PdSeN2Cl at its relaxed geometry.

Results
- E above lowest polymorph (eV per formula unit) = 0.00
- DFT total energy (eV per cell) = -19.6
- density of states at the Fermi level (states/eV per atom) = 1.181
- ΔE_f (raw) (kJ per mole of atoms) = 146.6
- volume (A^3/atom) = 17.72

Cell lengths 3.8342, 3.8342, 6.0259 Å; angles 90.00, 90.00, 90.00 degrees
Sites, in units of the cell vectors:
Pd  0.0000  0.0000  0.0000
Se  0.0000  0.0000  0.5000
N  0.0000  0.5000  0.0000
N  0.5000  0.0000  0.0000
Cl  0.5000  0.5000  0.5000